{
  "formula": "NdHoTmTh",
  "functional": "PBE",
  "state": "optimized geometry",
  "polymorph_energy_ev_per_atom": 0.000,
  "ef_kj_per_mol_atoms": 1.47,
  "density_g_cm3": 9.2,
  "lattice": [[-0.349, 2.722, 2.311], [0.643, -3.313, 1.216], [11.343, 1.263, -2.561]],
  "species": ["Nd", "Ho", "Tm", "Th"],
  "frac_coords": [[0.969, 0.383, 0.367], [0.475, 0.135, 0.625], [0.131, 0.964, 0.110], [0.303, 0.549, 0.868]]
}

***

{
  "formula": "Nd2HoTm5Th",
  "functional": "PBE",
  "state": "optimized geometry",
  "ef_kj_per_mol_atoms": 28.47,
  "density_g_cm3": 8.9,
  "lattice": [[-4.818, -6.198, 3.649], [7.035, -4.974, 0.839], [0.211, 8.614, 4.640]],
  "species": ["Nd", "Nd", "Nd", "Nd", "Ho", "Ho", "Tm", "Tm", "Tm", "Tm", "Tm", "Tm", "Tm", "Tm", "Tm", "Tm", "Th", "Th"],
  "frac_coords": [[0.116, 0.384, 0.000], [0.616, 0.116, 0.000], [0.384, 0.884, 0.000], [0.884, 0.616, 0.000], [0.250, 0.750, 0.500], [0.750, 0.250, 0.500], [0.926, 0.426, 0.280], [0.647, 0.147, 0.720], [0.074, 0.574, 0.720], [0.147, 0.074, 0.720], [0.574, 0.647, 0.720], [0.853, 0.926, 0.280], [0.426, 0.353, 0.280], [0.353, 0.853, 0.280], [0.500, 0.500, 0.000], [0.000, 0.000, 0.000], [0.250, 0.250, 0.500], [0.750, 0.750, 0.500]]
}

***

{
  "formula": "Nd5HoTm2Th",
  "functional": "PBE",
  "state": "optimized geometry",
  "ef_kj_per_mol_atoms": 13.83,
  "density_g_cm3": 7.8,
  "lattice": [[5.407, 0.000, 0.000], [-2.703, 10.785, 0.000], [0.000, 0.000, 10.615]],
  "species": ["Nd", "Nd", "Nd", "Nd", "Nd", "Nd", "Nd", "Nd", "Nd", "Nd", "Ho", "Ho", "Tm", "Tm", "Tm", "Tm", "Th", "Th"],
  "frac_coords": [[0.375, 0.750, 0.008], [0.721, 0.443, 0.815], [0.500, 0.000, 0.758], [0.278, 0.557, 0.701], [0.002, 0.004, 0.508], [0.625, 0.250, 0.508], [0.279, 0.557, 0.315], [0.500, 0.000, 0.258], [0.722, 0.443, 0.201], [0.998, 0.996, 0.008], [0.601, 0.203, 0.008], [0.399, 0.797, 0.508], [0.887, 0.774, 0.755], [0.113, 0.225, 0.762], [0.113, 0.226, 0.255], [0.887, 0.775, 0.262], [0.787, 0.574, 0.508], [0.213, 0.426, 0.008]]
}

***

{
  "formula": "NdHo3Tm6Th2",
  "functional": "PBE",
  "state": "optimized geometry",
  "ef_kj_per_mol_atoms": 3.23,
  "density_g_cm3": 9.4,
  "lattice": [[-5.164, -1.453, 2.971], [0.670, -1.527, -5.902], [6.103, -9.001, 4.088]],
  "species": ["Nd", "Ho", "Ho", "Ho", "Tm", "Tm", "Tm", "Tm", "Tm", "Tm", "Th", "Th"],
  "frac_coords": [[0.000, 0.000, 0.000], [0.166, 0.834, 0.500], [0.834, 0.166, 0.500], [0.500, 0.500, 0.500], [0.916, 0.578, 0.750], [0.746, 0.746, 0.250], [0.084, 0.422, 0.250], [0.578, 0.916, 0.750], [0.254, 0.254, 0.750], [0.422, 0.084, 0.250], [0.333, 0.667, 0.000], [0.667, 0.333, 0.000]]
}

***

{
  "formula": "NdHo2Tm5Th",
  "functional": "PBE",
  "state": "optimized geometry",
  "ef_kj_per_mol_atoms": 30.50,
  "density_g_cm3": 9.1,
  "lattice": [[8.720, 0.000, 0.000], [0.000, 8.720, 0.000], [-4.360, -4.360, 7.445]],
  "species": ["Nd", "Nd", "Ho", "Ho", "Ho", "Ho", "Tm", "Tm", "Tm", "Tm", "Tm", "Tm", "Tm", "Tm", "Tm", "Tm", "Th", "Th"],
  "frac_coords": [[0.250, 0.750, 0.500], [0.750, 0.250, 0.500], [0.115, 0.385, 0.000], [0.615, 0.115, 0.000], [0.385, 0.885, 0.000], [0.885, 0.615, 0.000], [0.927, 0.427, 0.270], [0.657, 0.157, 0.730], [0.073, 0.573, 0.730], [0.157, 0.073, 0.730], [0.573, 0.657, 0.730], [0.843, 0.927, 0.270], [0.427, 0.343, 0.270], [0.343, 0.843, 0.270], [0.500, 0.500, 0.000], [0.000, 0.000, 0.000], [0.250, 0.250, 0.500], [0.750, 0.750, 0.500]]
}

***

{
  "formula": "NdHo2Tm4Th",
  "functional": "PBE",
  "state": "optimized geometry",
  "ef_kj_per_mol_atoms": 2.98,
  "density_g_cm3": 9.2,
  "lattice": [[5.043, 0.000, 0.000], [0.000, 4.940, 0.955], [0.000, 3.059, 10.639]],
  "species": ["Nd", "Ho", "Ho", "Tm", "Tm", "Tm", "Tm", "Th"],
  "frac_coords": [[0.500, 0.500, 0.000], [0.000, 0.000, 0.000], [0.500, 0.000, 0.500], [0.000, 0.754, 0.747], [0.000, 0.246, 0.253], [0.500, 0.746, 0.254], [0.500, 0.254, 0.746], [0.000, 0.500, 0.500]]
}